# DyHO2 | Alexandria via LeMat-Bulk | PBE | optimized geometry
# D(E_F): 0.000 states/eV per atom
# Total DFT energy (no corrections): -7.12 eV per atom
data_DyHO2
_symmetry_space_group_name_H-M 'P n m a'
_symmetry_Int_Tables_number 62
_cell_length_a 10.942
_cell_length_b 3.545
_cell_length_c 5.072
_cell_angle_alpha 90.00
_cell_angle_beta 90.00
_cell_angle_gamma 90.00
loop_
_symmetry_equiv_pos_as_xyz
'x,y,z'
'-x,-y,-z'
'-x+1/2,-y,z+1/2'
'x+1/2,y,-z+1/2'
'x+1/2,-y+1/2,-z+1/2'
'-x+1/2,y+1/2,z+1/2'
'-x,y+1/2,-z'
'x,-y+1/2,z'
loop_
_atom_site_label
_atom_site_type_symbol
_atom_site_fract_x
_atom_site_fract_y
_atom_site_fract_z
Dy1 Dy 0.144 0.250 0.105
H1 H 0.101 0.750 0.643
O1 O 0.068 0.750 0.828
O2 O 0.190 0.750 0.353